Tl2MoI4F2: optimized geometry, PBE with a Hubbard U.

Summary:
space group = C2/m
uncorrected energy = -3.43 eV/atom
mass density = 5.095 g/cm³
volume = 342.30 Å³/cell

Cell: 7.049 7.252 7.252 Å, 69.63 98.12 98.12°
Each line ends with the local moment (μB).
Positions (direct):
I 0.751 0.867 0.349  -0.02
F 0.371 0.134 0.134  0.02
I 0.751 0.349 0.867  -0.02
F 0.629 0.866 0.866  0.02
Mo 0.500 0.000 0.000  1.95
I 0.249 0.133 0.651  -0.02
Tl 0.625 0.348 0.348  0.00
Tl 0.375 0.652 0.652  0.00
I 0.249 0.651 0.133  -0.02



Tl3MoI2F6: optimized geometry, PBE with a Hubbard U.

Summary:
space group = C2/m
uncorrected energy = -4.13 eV/atom
mass density = 4.797 g/cm³
volume = 372.74 Å³/cell

Cell: 5.432 8.039 9.461 Å, 115.14 94.24 90.00°
Each line ends with the local moment (μB).
Positions (direct):
F 0.739 0.840 0.031  0.00
Tl 0.500 0.500 0.500  0.00
Mo 0.500 0.000 0.000  0.94
I 0.986 0.697 0.393  0.00
Tl 0.500 0.000 0.500  0.00
F 0.261 0.810 0.969  0.00
Tl 0.000 0.500 0.000  0.00
F 0.461 0.113 0.226  0.03
F 0.261 0.160 0.969  0.00
I 0.014 0.303 0.607  0.00
F 0.739 0.190 0.031  0.00
F 0.539 0.887 0.774  0.03



Q: What is the uncorrected energy in the first record?
A: -3.43 eV/atom



Q: Which of these has the lowest uncorrected energy?
A: Tl3MoI2F6